No. 1
# TbPm2Tm9

A geometry-optimized TbPm2Tm9 structure (GGA-PBE, the Alexandria database).

N(E_F): 19.518 states/eV per cell
Uncorrected energy: -0.1640 hartree per atom
Crystal system: hexagonal
Spin magnetization: 0.0 μB per formula unit

Geometry as CIF:
```
data_TbPm2Tm9
_cell_length_a 11.132
_cell_length_b 11.132
_cell_length_c 3.478
_cell_angle_alpha 90.00
_cell_angle_beta 90.00
_cell_angle_gamma 120.00
_space_group_name_H-M_alt 'P 1'
_space_group_IT_number 1
loop_
_space_group_symop_operation_xyz
'x,y,z'
loop_
_atom_site_label
_atom_site_type_symbol
_atom_site_fract_x
_atom_site_fract_y
_atom_site_fract_z
Tb1 Tb 0.000 0.000 0.000
Pm1 Pm 0.333 0.667 0.000
Pm2 Pm 0.667 0.333 0.000
Tm1 Tm 0.000 0.500 0.000
Tm2 Tm 0.175 0.350 0.500
Tm3 Tm 0.175 0.825 0.500
Tm4 Tm 0.350 0.175 0.500
Tm5 Tm 0.500 0.000 0.000
Tm6 Tm 0.500 0.500 0.000
Tm7 Tm 0.650 0.825 0.500
Tm8 Tm 0.825 0.175 0.500
Tm9 Tm 0.825 0.650 0.500
```

---

No. 2
# Tb7PmTm4

A geometry-optimized Tb7PmTm4 structure (GGA-PBE, the Alexandria database).

N(E_F): 15.829 states/eV per cell
Uncorrected energy: -0.1687 hartree per atom
Crystal system: triclinic
Spin magnetization: 0.0 μB per formula unit

Geometry as CIF:
```
data_Tb7PmTm4
_cell_length_a 6.188
_cell_length_b 7.150
_cell_length_c 8.800
_cell_angle_alpha 89.98
_cell_angle_beta 76.27
_cell_angle_gamma 89.93
_space_group_name_H-M_alt 'P 1'
_space_group_IT_number 1
loop_
_space_group_symop_operation_xyz
'x,y,z'
loop_
_atom_site_label
_atom_site_type_symbol
_atom_site_fract_x
_atom_site_fract_y
_atom_site_fract_z
Tb1 Tb 0.000 0.000 0.000
Tb2 Tb 0.222 0.500 0.335
Tb3 Tb 0.280 0.248 0.664
Tb4 Tb 0.500 0.248 0.001
Tb5 Tb 0.500 0.752 0.999
Tb6 Tb 0.720 0.752 0.336
Tb7 Tb 0.778 0.500 0.665
Pm1 Pm 0.000 0.500 0.000
Tm1 Tm 0.220 0.000 0.335
Tm2 Tm 0.279 0.752 0.665
Tm3 Tm 0.721 0.248 0.335
Tm4 Tm 0.780 0.000 0.665
```

---

No. 3
# Tb5PmTm2

A geometry-optimized Tb5PmTm2 structure (GGA-PBE, the Alexandria database).

N(E_F): 23.858 states/eV per cell
Uncorrected energy: -0.1641 hartree per atom
Crystal system: orthorhombic
Spin magnetization: 0.0 μB per formula unit

Geometry as CIF:
```
data_Tb5PmTm2
_cell_length_a 8.634
_cell_length_b 8.634
_cell_length_c 11.432
_cell_angle_alpha 90.00
_cell_angle_beta 90.00
_cell_angle_gamma 141.89
_space_group_name_H-M_alt 'P 1'
_space_group_IT_number 1
loop_
_space_group_symop_operation_xyz
'x,y,z'
loop_
_atom_site_label
_atom_site_type_symbol
_atom_site_fract_x
_atom_site_fract_y
_atom_site_fract_z
Tb1 Tb 0.044 0.956 0.613
Tb2 Tb 0.044 0.956 0.887
Tb3 Tb 0.395 0.605 0.250
Tb4 Tb 0.412 0.588 0.578
Tb5 Tb 0.412 0.588 0.922
Tb6 Tb 0.588 0.412 0.078
Tb7 Tb 0.588 0.412 0.422
Tb8 Tb 0.605 0.395 0.750
Tb9 Tb 0.956 0.044 0.113
Tb10 Tb 0.956 0.044 0.387
Pm1 Pm 0.227 0.773 0.750
Pm2 Pm 0.773 0.227 0.250
Tm1 Tm 0.214 0.786 0.079
Tm2 Tm 0.214 0.786 0.421
Tm3 Tm 0.786 0.214 0.579
Tm4 Tm 0.786 0.214 0.921
```

---

No. 4
# Tb4PmTm8

A geometry-optimized Tb4PmTm8 structure (GGA-PBE, the Alexandria database).

N(E_F): 16.015 states/eV per cell
Uncorrected energy: -0.1591 hartree per atom
Crystal system: monoclinic
Spin magnetization: 0.0 μB per formula unit

Geometry as CIF:
```
data_Tb4PmTm8
_cell_length_a 7.251
_cell_length_b 7.251
_cell_length_c 9.831
_cell_angle_alpha 111.58
_cell_angle_beta 111.58
_cell_angle_gamma 60.06
_space_group_name_H-M_alt 'P 1'
_space_group_IT_number 1
loop_
_space_group_symop_operation_xyz
'x,y,z'
loop_
_atom_site_label
_atom_site_type_symbol
_atom_site_fract_x
_atom_site_fract_y
_atom_site_fract_z
Tb1 Tb 0.000 0.000 0.000
Tb2 Tb 0.000 0.500 0.000
Tb3 Tb 0.500 0.000 0.000
Tb4 Tb 0.500 0.500 0.000
Pm1 Pm 0.000 0.000 0.500
Tm1 Tm 0.250 0.250 0.692
Tm2 Tm 0.250 0.691 0.692
Tm3 Tm 0.281 0.281 0.345
Tm4 Tm 0.309 0.750 0.308
Tm5 Tm 0.691 0.250 0.692
Tm6 Tm 0.719 0.719 0.655
Tm7 Tm 0.750 0.309 0.308
Tm8 Tm 0.750 0.750 0.308
```

---

No. 5
# Tb2Pm5Tm12

A geometry-optimized Tb2Pm5Tm12 structure (GGA-PBE, the Alexandria database).

N(E_F): 26.449 states/eV per cell
Uncorrected energy: -0.1668 hartree per atom
Crystal system: triclinic
Spin magnetization: 0.0 μB per formula unit

Geometry as CIF:
```
data_Tb2Pm5Tm12
_cell_length_a 7.904
_cell_length_b 8.651
_cell_length_c 9.366
_cell_angle_alpha 90.07
_cell_angle_beta 94.89
_cell_angle_gamma 111.28
_space_group_name_H-M_alt 'P 1'
_space_group_IT_number 1
loop_
_space_group_symop_operation_xyz
'x,y,z'
loop_
_atom_site_label
_atom_site_type_symbol
_atom_site_fract_x
_atom_site_fract_y
_atom_site_fract_z
Tb1 Tb 0.079 0.026 0.183
Tb2 Tb 0.921 0.974 0.817
Pm1 Pm 0.238 0.079 0.552
Pm2 Pm 0.341 0.448 0.132
Pm3 Pm 0.500 0.500 0.500
Pm4 Pm 0.659 0.552 0.868
Pm5 Pm 0.762 0.921 0.448
Tm1 Tm 0.024 0.342 0.395
Tm2 Tm 0.133 0.711 0.973
Tm3 Tm 0.181 0.394 0.764
Tm4 Tm 0.287 0.763 0.341
Tm5 Tm 0.396 0.131 0.921
Tm6 Tm 0.446 0.816 0.713
Tm7 Tm 0.554 0.184 0.287
Tm8 Tm 0.604 0.869 0.079
Tm9 Tm 0.713 0.237 0.659
Tm10 Tm 0.819 0.606 0.236
Tm11 Tm 0.867 0.289 0.027
Tm12 Tm 0.976 0.658 0.605
```

---

No. 6
# Tb3Pm2Tm6

A geometry-optimized Tb3Pm2Tm6 structure (GGA-PBE, the Alexandria database).

N(E_F): 17.195 states/eV per cell
Uncorrected energy: -0.1608 hartree per atom
Crystal system: monoclinic
Spin magnetization: 0.0 μB per formula unit

Geometry as CIF:
```
data_Tb3Pm2Tm6
_cell_length_a 6.075
_cell_length_b 6.075
_cell_length_c 11.588
_cell_angle_alpha 95.04
_cell_angle_beta 95.04
_cell_angle_gamma 120.08
_space_group_name_H-M_alt 'P 1'
_space_group_IT_number 1
loop_
_space_group_symop_operation_xyz
'x,y,z'
loop_
_atom_site_label
_atom_site_type_symbol
_atom_site_fract_x
_atom_site_fract_y
_atom_site_fract_z
Tb1 Tb 0.000 0.000 0.000
Tb2 Tb 0.335 0.665 0.000
Tb3 Tb 0.665 0.335 0.000
Pm1 Pm 0.167 0.833 0.500
Pm2 Pm 0.833 0.167 0.500
Tm1 Tm 0.083 0.416 0.248
Tm2 Tm 0.251 0.251 0.752
Tm3 Tm 0.416 0.083 0.248
Tm4 Tm 0.584 0.917 0.752
Tm5 Tm 0.749 0.749 0.248
Tm6 Tm 0.917 0.584 0.752
```